Density functional theory data (PBE) for In3HgBi3 after structural relaxation.

a b c (Å): 8.4146 8.4146 8.4146
angles (deg): 90.00 90.00 90.00
Space group Pm-3n (No. 223)
Asymmetric unit:
In  0.0000  0.2500  0.5000 x6
Hg  0.0000  0.0000  0.0000 x2
Bi  0.0000  0.5000  0.2500 x6

Results
The calculation puts the energy above the most stable polymorph in this dataset at 0.033 eV per atom. The energy is -38.90 eV/cell. Its magnetic moment is 0.00 μB per atom. For the calculated formation energy, the calculation gives 0.101 eV per atom.